Crystalline Cs3RbTl at its relaxed geometry, computed with PBE-GGA.

Cell lengths 7.6927, 7.6927, 7.6927 Å; angles 90.00, 90.00, 90.00 degrees
Last column: nearest neighbours and their distance in Å.
Fractional coordinates of all 5 atoms:
Rb  0.5000  0.5000  0.5000  12 Cs 5.44
Cs  0.5000  0.0000  0.0000  2 Tl 3.85
Cs  0.0000  0.0000  0.5000  2 Tl 3.85
Tl  0.0000  0.0000  0.0000  6 Cs 3.85
Cs  0.0000  0.5000  0.0000  2 Tl 3.85

Summary:
Total DFT energy (no corrections): -5.66 eV per formula unit
Formation energy: 0.047 eV per atom
Relative energy among the computed polymorphs: 80 meV per atom
Space group: Pm-3m

***

Crystalline CsRb8Tl2 at its relaxed geometry, computed with PBE-GGA.

Cell lengths 7.7965, 11.1075, 11.1075 Å; angles 77.58, 110.57, 110.57 degrees
Last column: nearest neighbours and their distance in Å.
Fractional coordinates of all 11 atoms:
Rb  0.2255  0.7249  0.7249  2 Tl 3.81
Rb  0.5000  0.1818  0.8182  1 Cs 4.43, 6 Rb 4.65-4.95, 2 Tl 4.84
Rb  0.7745  0.2751  0.2751  2 Tl 3.81
Tl  0.0000  0.3885  0.6115  1 Tl 3.10
Cs  0.5000  0.5000  0.5000  4 Tl 4.20, 2 Rb 4.43
Rb  0.8358  0.0104  0.6602  1 Tl 3.91
Rb  0.8358  0.6602  0.0104  1 Tl 3.91
Tl  0.0000  0.6115  0.3885  1 Tl 3.10
Rb  0.1642  0.9896  0.3398  1 Tl 3.91
Rb  0.1642  0.3398  0.9896  1 Tl 3.91
Rb  0.5000  0.8182  0.1818  1 Cs 4.43, 6 Rb 4.65-4.95, 2 Tl 4.84

Summary:
Total DFT energy (no corrections): -13.20 eV per formula unit
Formation energy: 0.012 eV per atom
Space group: C2/m

***

Crystalline Cs3RbTl at its relaxed geometry, computed with PBE-GGA.

Cell lengths 5.4534, 12.0268, 13.3982 Å; angles 93.56, 89.88, 103.08 degrees
Last column: nearest neighbours and their distance in Å.
Fractional coordinates of all 10 atoms:
Cs  0.7664  0.5633  0.4452  3 Tl 4.09-4.15
Rb  0.4240  0.8787  0.2732  3 Rb 5.04-5.45, 8 Cs 5.05-5.24
Cs  0.4131  0.8578  0.6490  3 Tl 3.96-4.09
Cs  0.9606  0.9538  0.9556  1 Tl 4.55, 4 Cs 5.00-5.08
Cs  0.2773  0.5909  0.9765  3 Tl 4.08-4.15
Tl  0.2449  0.5225  0.6740  2 Tl 3.14
Cs  0.6304  0.2961  0.7723  3 Tl 3.96-4.08
Tl  0.7986  0.6314  0.7481  2 Tl 3.14
Rb  0.6208  0.2753  0.1483  3 Rb 5.04-5.45, 8 Cs 5.05-5.25
Cs  0.0840  0.2007  0.4656  1 Tl 4.55, 4 Cs 5.00-5.07

Summary:
Total DFT energy (no corrections): -6.06 eV per formula unit
Formation energy: -0.032 eV per atom
Relative energy among the computed polymorphs: 0 meV per atom
Space group: P1

***

Crystalline Cs3Rb7Tl at its relaxed geometry, computed with PBE-GGA.

Cell lengths 12.1204, 12.1204, 9.1038 Å; angles 58.86, 58.86, 71.26 degrees
Last column: nearest neighbours and their distance in Å.
Fractional coordinates of all 11 atoms:
Rb  0.3103  0.9612  0.7851  1 Tl 3.89
Rb  0.0018  0.6640  0.1696  1 Tl 3.90
Cs  0.4225  0.4225  0.2704  8 Rb 4.80-5.28, 2 Cs 5.09
Rb  0.6640  0.0018  0.1696  1 Tl 3.90
Rb  0.9612  0.3103  0.7851  1 Tl 3.89
Cs  0.7879  0.1989  0.4720  1 Tl 3.92
Cs  0.1989  0.7879  0.4720  1 Tl 3.92
Rb  0.2376  0.2376  0.0562  1 Tl 4.36, 3 Rb 4.74-4.88, 2 Cs 4.77
Rb  0.7527  0.7527  0.7602  1 Tl 4.10
Rb  0.5587  0.5587  0.6067  4 Cs 4.74-5.20, 4 Rb 4.83-4.88
Tl  0.9794  0.9794  0.2030  5 Rb 3.89-4.10, 2 Cs 3.92

Summary:
Total DFT energy (no corrections): -11.60 eV per formula unit
Formation energy: 0.009 eV per atom
Space group: Cm

***

Crystalline CsRb2Tl at its relaxed geometry, computed with PBE-GGA.

Cell lengths 4.8648, 4.8648, 11.5669 Å; angles 90.00, 90.00, 90.00 degrees
Last column: nearest neighbours and their distance in Å.
Fractional coordinates of all 4 atoms:
Rb  0.0000  0.0000  0.1778  4 Tl 4.01, 1 Rb 4.11
Cs  0.5000  0.5000  0.5000  4 Cs 4.86, 8 Rb 5.07
Rb  0.0000  0.0000  0.8222  4 Tl 4.01, 1 Rb 4.11
Tl  0.5000  0.5000  0.0000  8 Rb 4.01

Summary:
Total DFT energy (no corrections): -5.03 eV per formula unit
Formation energy: 0.031 eV per atom
Relative energy among the computed polymorphs: 41 meV per atom
Space group: P4/mmm

***

Crystalline Cs3Rb12Tl at its relaxed geometry, computed with PBE-GGA.

Cell lengths 7.0899, 7.0899, 27.3627 Å; angles 90.00, 90.00, 90.00 degrees
Last column: nearest neighbours and their distance in Å.
Fractional coordinates of all 16 atoms:
Rb  0.5000  0.0000  0.9070  2 Tl 4.36, 2 Rb 4.36
Rb  0.5000  0.0000  0.3636  8 Rb 5.01-5.15, 4 Cs 5.15-5.18
Rb  0.0000  0.5000  0.9070  2 Rb 4.36, 2 Tl 4.36
Rb  0.5000  0.0000  0.0930  2 Rb 4.36, 2 Tl 4.36
Rb  0.5000  0.5000  0.7708  4 Cs 5.01, 8 Rb 5.11-5.14
Rb  0.5000  0.5000  0.5000  4 Cs 5.01, 8 Rb 5.15
Rb  0.0000  0.5000  0.0930  2 Tl 4.36, 2 Rb 4.36
Rb  0.5000  0.5000  0.2292  4 Cs 5.01, 8 Rb 5.11-5.14
Cs  0.0000  0.0000  0.2257  12 Rb 5.01-5.18
Rb  0.5000  0.0000  0.6364  8 Rb 5.01-5.15, 4 Cs 5.15-5.18
Rb  0.0000  0.5000  0.3636  8 Rb 5.01-5.15, 4 Cs 5.15-5.18
Tl  0.0000  0.0000  0.0000  8 Rb 4.36
Rb  0.0000  0.5000  0.6364  8 Rb 5.01-5.15, 4 Cs 5.15-5.18
Cs  0.0000  0.0000  0.7743  12 Rb 5.01-5.18
Cs  0.0000  0.0000  0.5000  12 Rb 5.01-5.15
Rb  0.5000  0.5000  0.0000  8 Rb 4.36

Summary:
Total DFT energy (no corrections): -16.24 eV per formula unit
Formation energy: 0.019 eV per atom
Space group: P4/mmm